Entry 1:
6
Lattice="-1.111 2.457 -3.127 1.382 -0.761 -3.815 -13.208 -5.361 -2.245" Properties=species:S:1:pos:R:3 comment="PrGeI | the Alexandria database | PBE | optimized geometry" sg=C2/m volume_a3_per_fu=103.4 dos_at_fermi_per_ev_atom=0.63 pbc="T T T"
Pr -7.899 -4.009 -5.794
Ge -5.367 -2.164 -5.245
Ge -7.570 -1.501 -3.941
I -10.810 -3.363 -6.979
I -2.127 -0.302 -2.207
Pr -5.038 0.343 -3.392

Entry 2:
4
Lattice="3.730 0.000 0.000 0.000 3.730 0.000 0.000 0.000 8.245" Properties=species:S:1:pos:R:3 comment="Pr2GeI | the Alexandria database | PBE | optimized geometry" sg=P4/mmm volume_a3_per_fu=114.7 polymorph_energy_ev_per_fu=1.06 dos_at_fermi_per_ev_atom=0.98 pbc="T T T"
I 1.865 1.865 4.122
Ge 1.865 1.865 0.000
Pr 0.000 0.000 1.808
Pr 0.000 0.000 6.437

Per-record formation energy (no corrections), eV per atom: -0.951; -0.772
Per-record ρ, kg/m3: 5468; 6967